[1]
{
  "formula": "Er2AlSi3Ni4",
  "functional": "PBE-GGA",
  "state": "relaxed",
  "lattice_angstrom": [[3.948, 0.000, 0.000], [0.000, 3.948, 0.000], [0.000, 0.000, 9.651]],
  "species": ["Er", "Er", "Al", "Si", "Si", "Si", "Ni", "Ni", "Ni", "Ni"],
  "fractional_positions": [[0.000, 0.500, 0.246], [0.500, 0.000, 0.754], [0.000, 0.000, 0.500], [0.000, 0.500, 0.874], [0.500, 0.000, 0.126], [0.500, 0.500, 0.500], [0.000, 0.000, 0.000], [0.000, 0.500, 0.638], [0.500, 0.000, 0.362], [0.500, 0.500, 0.000]],
  "total_energy_ev_per_atom": -6.04,
  "crystal_system": "tetragonal",
  "formation_energy_uncorrected_ev_per_fu": -8.19
}

***

[2]
{
  "formula": "CaHg3Se",
  "functional": "PBE-GGA",
  "state": "relaxed",
  "lattice_angstrom": [[5.823, 0.000, 0.000], [0.000, 5.823, 0.000], [0.000, 0.000, 5.823]],
  "species": ["Ca", "Hg", "Hg", "Hg", "Se"],
  "fractional_positions": [[0.000, 0.000, 0.000], [0.000, 0.000, 0.500], [0.000, 0.500, 0.000], [0.500, 0.000, 0.000], [0.500, 0.500, 0.500]],
  "total_energy_ev_per_atom": -0.99,
  "crystal_system": "cubic",
  "formation_energy_uncorrected_ev_per_fu": 1.42
}

***

[3]
{
  "formula": "TaCoSCl2",
  "functional": "PBE-GGA",
  "state": "relaxed",
  "lattice_angstrom": [[4.390, 0.000, 0.000], [0.000, 4.390, 0.000], [0.000, 0.000, 4.638]],
  "species": ["Ta", "Co", "S", "Cl", "Cl"],
  "fractional_positions": [[0.000, 0.000, 0.000], [0.500, 0.500, 0.500], [0.500, 0.500, 0.000], [0.000, 0.500, 0.500], [0.500, 0.000, 0.500]],
  "total_energy_ev_per_atom": -4.80,
  "crystal_system": "tetragonal",
  "formation_energy_uncorrected_ev_per_fu": 2.79
}

***

[4]
{
  "formula": "Pm12PrCo5",
  "functional": "PBE-GGA",
  "state": "relaxed",
  "lattice_angstrom": [[-4.907, 4.955, 5.073], [4.907, -4.955, 5.073], [4.907, 4.955, -5.073]],
  "species": ["Pm", "Pm", "Pm", "Pm", "Pm", "Pm", "Pm", "Pm", "Pm", "Pm", "Pm", "Pm", "Pr", "Co", "Co", "Co", "Co", "Co"],
  "fractional_positions": [[0.003, 0.194, 0.809], [0.183, 0.298, 0.480], [0.183, 0.702, 0.885], [0.313, 0.626, 0.314], [0.313, 0.999, 0.686], [0.386, 0.194, 0.191], [0.614, 0.806, 0.809], [0.687, 0.001, 0.314], [0.687, 0.374, 0.686], [0.817, 0.298, 0.115], [0.817, 0.702, 0.520], [0.997, 0.806, 0.191], [0.500, 0.500, 0.000], [0.000, 0.000, 0.000], [0.112, 0.612, 0.500], [0.381, 0.000, 0.381], [0.619, 0.000, 0.619], [0.888, 0.388, 0.500]],
  "total_energy_ev_per_atom": -5.46,
  "crystal_system": "orthorhombic",
  "formation_enthalpy_0k_ev_per_atom": -0.0507
}

***

[5]
{
  "formula": "TmLuGaPt",
  "functional": "PBE-GGA",
  "state": "relaxed",
  "lattice_angstrom": [[6.958, 0.000, 0.000], [0.000, 6.958, 0.000], [0.000, 0.000, 6.958]],
  "species": ["Tm", "Tm", "Tm", "Tm", "Lu", "Lu", "Lu", "Lu", "Ga", "Ga", "Ga", "Ga", "Pt", "Pt", "Pt", "Pt"],
  "fractional_positions": [[0.000, 0.000, 0.000], [0.000, 0.500, 0.500], [0.500, 0.000, 0.500], [0.500, 0.500, 0.000], [0.000, 0.000, 0.500], [0.000, 0.500, 0.000], [0.500, 0.000, 0.000], [0.500, 0.500, 0.500], [0.250, 0.250, 0.250], [0.250, 0.750, 0.750], [0.750, 0.250, 0.750], [0.750, 0.750, 0.250], [0.250, 0.250, 0.750], [0.250, 0.750, 0.250], [0.750, 0.250, 0.250], [0.750, 0.750, 0.750]],
  "total_energy_ev_per_atom": -5.43,
  "crystal_system": "cubic",
  "formation_enthalpy_0k_ev_per_atom": -0.9143
}

***

[6]
{
  "formula": "PmDy3Sc",
  "functional": "PBE-GGA",
  "state": "relaxed",
  "lattice_angstrom": [[6.200, 0.000, 0.000], [0.000, 5.585, 0.000], [-3.079, 0.000, 8.931]],
  "species": ["Pm", "Pm", "Dy", "Dy", "Dy", "Dy", "Dy", "Dy", "Sc", "Sc"],
  "fractional_positions": [[0.068, 0.250, 0.299], [0.932, 0.750, 0.701], [0.141, 0.750, 0.095], [0.274, 0.250, 0.710], [0.336, 0.750, 0.504], [0.664, 0.250, 0.496], [0.726, 0.750, 0.290], [0.859, 0.250, 0.905], [0.465, 0.250, 0.095], [0.535, 0.750, 0.905]],
  "total_energy_ev_per_atom": -4.95,
  "crystal_system": "monoclinic",
  "formation_enthalpy_0k_ev_per_atom": 0.0318
}

***

[7]
{
  "formula": "CoReMo",
  "functional": "PBE-GGA",
  "state": "relaxed",
  "lattice_angstrom": [[3.161, 0.000, 0.000], [0.000, 3.161, 0.000], [0.000, 0.000, 8.502]],
  "species": ["Co", "Co", "Re", "Re", "Mo", "Mo"],
  "fractional_positions": [[0.000, 0.000, 0.000], [0.500, 0.500, 0.500], [0.000, 0.000, 0.668], [0.500, 0.500, 0.168], [0.000, 0.000, 0.334], [0.500, 0.500, 0.834]],
  "total_energy_ev_per_atom": -9.92,
  "crystal_system": "tetragonal",
  "formation_enthalpy_0k_ev_per_atom": 0.2085
}

***

[8]
{
  "formula": "Y4MgCo",
  "functional": "PBE-GGA",
  "state": "relaxed",
  "lattice_angstrom": [[0.000, 4.419, 4.419], [4.419, 0.000, 4.419], [4.419, 4.419, 0.000]],
  "species": ["Y", "Y", "Y", "Y", "Mg", "Co"],
  "fractional_positions": [[0.125, 0.125, 0.125], [0.125, 0.125, 0.626], [0.125, 0.626, 0.125], [0.626, 0.125, 0.125], [0.500, 0.500, 0.500], [0.750, 0.750, 0.750]],
  "total_energy_ev_per_atom": -5.05,
  "crystal_system": "cubic",
  "formation_enthalpy_0k_ev_per_atom": 0.7071
}